Record 1
DFT (PBE) results for crystalline InCuPb at its relaxed geometry.

The value obtained for the total magnetization is 0.00 μB/f.u. The value obtained for the total energy is -10.11 eV/f.u. The value obtained for the theoretical density is 8.88 Mg/m³. The calculation puts the energy of formation from the pure elements at 42.1 kJ/mol of formula units.

Lattice parameters (Å, degrees): 8.573 4.417 7.619 90.00 90.00 90.00
Element x y z (fractional)
Pb1 0.264 0.250 0.415
Pb2 0.236 0.750 0.915
Pb3 0.736 0.750 0.585
Pb4 0.764 0.250 0.085
Cu1 0.928 0.250 0.427
Cu2 0.572 0.750 0.927
Cu3 0.072 0.750 0.573
Cu4 0.428 0.250 0.073
In1 0.991 0.250 0.775
In2 0.509 0.750 0.275
In3 0.009 0.750 0.225
In4 0.491 0.250 0.725

---

Record 2
DFT (PBE) results for crystalline InCuPb at its relaxed geometry.

The value obtained for the total magnetization is 0.00 μB/f.u. The value obtained for the total energy is -10.25 eV/f.u. The value obtained for the theoretical density is 8.83 Mg/m³. The calculation puts the energy of formation from the pure elements at 28.0 kJ/mol of formula units.

Lattice parameters (Å, degrees): 4.134 5.220 6.771 83.16 90.07 90.02
Element x y z (fractional)
Pb1 0.107 0.242 0.309
Pb2 0.106 0.113 0.792
Cu1 0.606 0.034 0.083
Cu2 0.106 0.753 0.147
In1 0.606 0.563 0.922
In2 0.607 0.720 0.455